# 1
RbLi2BP: relaxed, PBE.

abc: 4.9976 4.9976 4.8106
angles: 90.00 90.00 90.00
Element x y z (fractional)
Rb: 0.0000 0.0000 0.0000
Li: 0.0000 0.5000 0.0000
Li: 0.5000 0.0000 0.0000
B: 0.0000 0.0000 0.5000
P: 0.5000 0.5000 0.5000

Computed properties:
- Density of states at the Fermi level: 0.451 states/eV per atom
- Calculated total energy: -0.12395 Ry per atom

***

# 2
LiReB2P: relaxed, PBE.

abc: 3.5077 3.5077 4.7523
angles: 90.00 90.00 90.00
Element x y z (fractional)
Li: 0.0000 0.0000 0.0000
Re: 0.0000 0.0000 0.5000
B: 0.0000 0.5000 0.0000
B: 0.5000 0.0000 0.0000
P: 0.5000 0.5000 0.5000

Computed properties:
- Density of states at the Fermi level: 0.654 states/eV per atom
- Calculated total energy: -0.35276 Ry per atom

***

# 3
LiB2PRu: relaxed, PBE.

abc: 3.9390 3.9390 4.9497
angles: 90.00 90.00 90.00
Element x y z (fractional)
Li: 0.0000 0.0000 0.0000
B: 0.0000 0.5000 0.5000
B: 0.5000 0.0000 0.5000
P: 0.5000 0.5000 0.0000
Ru: 0.0000 0.0000 0.5000

Computed properties:
- Density of states at the Fermi level: 0.914 states/eV per atom
- Calculated total energy: -0.35666 Ry per atom

***

# 4
LiBPS2: relaxed, PBE.

abc: 4.5159 4.5159 3.8018
angles: 90.00 90.00 90.00
Element x y z (fractional)
Li: 0.0000 0.0000 0.0000
B: 0.5000 0.5000 0.5000
P: 0.5000 0.5000 0.0000
S: 0.0000 0.5000 0.5000
S: 0.5000 0.0000 0.5000

Computed properties:
- Density of states at the Fermi level: 0.417 states/eV per atom
- Energy relative to the elements, uncorrected: 0.39 eV per atom
- Calculated total energy: -0.29836 Ry per atom
- E above lowest polymorph: 57 meV per atom

***

# 5
LiBPS2: relaxed, PBE.

abc: 4.4768 4.4768 4.2073
angles: 90.00 90.00 90.00
Element x y z (fractional)
Li: 0.0000 0.0000 0.0000
B: 0.5000 0.5000 0.5000
P: 0.0000 0.0000 0.5000
S: 0.0000 0.5000 0.0000
S: 0.5000 0.0000 0.0000

Computed properties:
- Density of states at the Fermi level: 0.879 states/eV per atom
- Energy relative to the elements, uncorrected: 1.45 eV per atom
- Calculated total energy: -0.22083 Ry per atom
- E above lowest polymorph: 1112 meV per atom

***

# 6
Li2BPS4: relaxed, PBE.

abc: 8.0461 6.4367 5.4694
angles: 90.00 90.00 90.00
Element x y z (fractional)
Li: 0.2449 0.1658 0.0000
Li: 0.2551 0.8342 0.5000
Li: 0.7449 0.8342 0.5000
Li: 0.7551 0.1658 0.0000
B: 0.0000 0.3614 0.5205
B: 0.5000 0.6386 0.0205
P: 0.0000 0.6926 0.0069
P: 0.5000 0.3074 0.5069
S: 0.0000 0.3803 0.8815
S: 0.0000 0.6469 0.3983
S: 0.1967 0.2109 0.4405
S: 0.3033 0.7891 0.9405
S: 0.5000 0.3531 0.8983
S: 0.5000 0.6197 0.3815
S: 0.6967 0.7891 0.9405
S: 0.8033 0.2109 0.4405

Computed properties:
- Density of states at the Fermi level: 0.000 states/eV per atom
- Energy relative to the elements, uncorrected: -0.62 eV per atom
- Calculated total energy: -0.34362 Ry per atom

***

# 7
LiBPS2: relaxed, PBE.

abc: 4.6693 4.6693 3.7650
angles: 90.00 90.00 90.00
Element x y z (fractional)
Li: 0.0000 0.0000 0.0000
B: 0.5000 0.5000 0.0000
P: 0.5000 0.5000 0.5000
S: 0.0000 0.5000 0.5000
S: 0.5000 0.0000 0.5000

Computed properties:
- Density of states at the Fermi level: 0.306 states/eV per atom
- Energy relative to the elements, uncorrected: 0.34 eV per atom
- Calculated total energy: -0.30253 Ry per atom
- E above lowest polymorph: 0 meV per atom

***

# 8
LiBTe2P: relaxed, PBE.

abc: 5.0690 5.0690 3.9077
angles: 90.00 90.00 90.00
Element x y z (fractional)
Li: 0.0000 0.0000 0.0000
B: 0.0000 0.0000 0.5000
Te: 0.0000 0.5000 0.0000
Te: 0.5000 0.0000 0.0000
P: 0.5000 0.5000 0.5000

Computed properties:
- Density of states at the Fermi level: 0.575 states/eV per atom
- Energy relative to the elements, uncorrected: 1.08 eV per atom
- Calculated total energy: -0.21910 Ry per atom

***

# 9
LiTl2BP: relaxed, PBE.

abc: 5.1625 5.1625 4.3780
angles: 90.00 90.00 90.00
Element x y z (fractional)
Li: 0.0000 0.0000 0.0000
Tl: 0.0000 0.5000 0.0000
Tl: 0.5000 0.0000 0.0000
B: 0.5000 0.5000 0.5000
P: 0.0000 0.0000 0.5000

Computed properties:
- Density of states at the Fermi level: 0.554 states/eV per atom
- Calculated total energy: -0.19762 Ry per atom

***

# 10
LiPaB4: relaxed, PBE.

abc: 4.5860 4.5860 4.5860
angles: 60.00 60.00 60.00
Element x y z (fractional)
Li: 0.0000 0.0000 0.0000
Pa: 0.2500 0.2500 0.2500
B: 0.2105 0.5965 0.5965
B: 0.5965 0.2105 0.5965
B: 0.5965 0.5965 0.2105
B: 0.5965 0.5965 0.5965

Computed properties:
- Density of states at the Fermi level: 0.769 states/eV per atom
- Calculated total energy: -0.43315 Ry per atom
- E above lowest polymorph: 905 meV per atom

***

# 11
Li2PaB4: relaxed, PBE.

abc: 8.8314 8.8314 8.8314
angles: 20.60 20.60 20.60
Element x y z (fractional)
Li: 0.1290 0.1290 0.1290
Li: 0.8710 0.8710 0.8710
Pa: 0.0000 0.0000 0.0000
B: 0.2551 0.2551 0.2551
B: 0.4112 0.4112 0.4112
B: 0.5888 0.5888 0.5888
B: 0.7449 0.7449 0.7449

Computed properties:
- Density of states at the Fermi level: 0.547 states/eV per atom
- Calculated total energy: -0.44612 Ry per atom

***

# 12
LiPaB4: relaxed, PBE.

abc: 5.8986 5.8986 3.6478
angles: 90.00 90.00 104.28
Element x y z (fractional)
Li: 0.1686 0.1686 0.0000
Li: 0.8314 0.8314 0.0000
Pa: 0.3023 0.6977 0.0000
Pa: 0.6977 0.3023 0.0000
B: 0.0644 0.3817 0.5000
B: 0.0915 0.9085 0.5000
B: 0.3775 0.3775 0.5000
B: 0.3817 0.0644 0.5000
B: 0.6183 0.9356 0.5000
B: 0.6225 0.6225 0.5000
B: 0.9085 0.0915 0.5000
B: 0.9356 0.6183 0.5000

Computed properties:
- Density of states at the Fermi level: 0.299 states/eV per atom
- Calculated total energy: -0.49970 Ry per atom
- E above lowest polymorph: 0 meV per atom

***

# 13
LiBPb: relaxed, PBE.

abc: 3.7474 3.7474 9.0572
angles: 90.00 90.00 120.00
Element x y z (fractional)
Li: 0.0000 0.0000 0.0000
Li: 0.0000 0.0000 0.5000
B: 0.6667 0.3333 0.0873
B: 0.6667 0.3333 0.9127
Pb: 0.3333 0.6667 0.2388
Pb: 0.3333 0.6667 0.7612

Computed properties:
- Density of states at the Fermi level: 0.198 states/eV per atom
- Calculated total energy: -0.28243 Ry per atom

***

# 14
LiBPb: relaxed, PBE.

abc: 3.6895 5.4164 6.0774
angles: 67.98 86.14 71.31
Element x y z (fractional)
Li: 0.0730 0.2930 0.2150
Li: 0.9270 0.7070 0.7850
B: 0.4349 0.6282 0.0467
B: 0.5651 0.3718 0.9533
Pb: 0.1849 0.1870 0.7524
Pb: 0.8151 0.8130 0.2476

Computed properties:
- Density of states at the Fermi level: 0.254 states/eV per atom
- Calculated total energy: -0.28273 Ry per atom

***

# 15
LiBPb: relaxed, PBE.

abc: 3.7793 17.5015 3.1720
angles: 90.00 90.00 90.00
Element x y z (fractional)
Li: 0.0000 0.0628 0.2500
Li: 0.0000 0.9372 0.7500
Li: 0.5000 0.4372 0.7500
Li: 0.5000 0.5628 0.2500
B: 0.0000 0.4904 0.2500
B: 0.0000 0.5096 0.7500
B: 0.5000 0.0096 0.7500
B: 0.5000 0.9904 0.2500
Pb: 0.0000 0.3250 0.2500
Pb: 0.0000 0.6750 0.7500
Pb: 0.5000 0.1750 0.7500
Pb: 0.5000 0.8250 0.2500

Computed properties:
- Density of states at the Fermi level: 0.293 states/eV per atom
- Calculated total energy: -0.30159 Ry per atom

***

# 16
LiBPb: relaxed, PBE.

abc: 3.9392 5.3080 5.5015
angles: 98.50 90.25 111.52
Element x y z (fractional)
Li: 0.0000 0.0000 0.0000
Li: 0.4012 0.8036 0.4103
B: 0.3662 0.7316 0.8498
B: 0.5209 0.0458 0.8007
Pb: 0.1335 0.2697 0.5735
Pb: 0.7396 0.4838 0.0759

Computed properties:
- Density of states at the Fermi level: 0.320 states/eV per atom
- Calculated total energy: -0.28038 Ry per atom

***

# 17
LiBPb: relaxed, PBE.

abc: 3.9718 3.9718 4.2363
angles: 90.00 90.00 120.00
Element x y z (fractional)
Li: 0.0000 0.0000 0.0000
B: 0.3333 0.6667 0.5000
Pb: 0.6667 0.3333 0.5000

Computed properties:
- Density of states at the Fermi level: 0.245 states/eV per atom
- Calculated total energy: -0.25612 Ry per atom

***

# 18
LiBPb: relaxed, PBE.

abc: 3.1531 5.2454 6.9334
angles: 90.00 90.00 90.00
Element x y z (fractional)
Li: 0.0000 0.0000 0.0000
Li: 0.5000 0.0000 0.3927
B: 0.0000 0.0000 0.6808
B: 0.5000 0.0000 0.7194
Pb: 0.0000 0.5000 0.5854
Pb: 0.5000 0.5000 0.1346

Computed properties:
- Density of states at the Fermi level: 0.202 states/eV per atom
- Calculated total energy: -0.29610 Ry per atom

***

# 19
LiBPb: relaxed, PBE.

abc: 3.4788 7.2367 8.3787
angles: 90.00 90.00 90.00
Element x y z (fractional)
Li: 0.2500 0.0000 0.0000
Li: 0.2500 0.5000 0.0000
Li: 0.7500 0.0000 0.0000
Li: 0.7500 0.5000 0.0000
B: 0.0000 0.0000 0.5000
B: 0.0000 0.5000 0.5000
B: 0.5000 0.0000 0.5000
B: 0.5000 0.5000 0.5000
Pb: 0.0000 0.2500 0.2675
Pb: 0.0000 0.7500 0.7325
Pb: 0.5000 0.2500 0.7325
Pb: 0.5000 0.7500 0.2675

Computed properties:
- Density of states at the Fermi level: 0.331 states/eV per atom
- Calculated total energy: -0.24607 Ry per atom

***

# 20
LiBPb: relaxed, PBE.

abc: 4.2912 4.2912 8.3869
angles: 90.00 90.00 120.00
Element x y z (fractional)
Li: 0.3333 0.6667 0.2500
Li: 0.6667 0.3333 0.7500
B: 0.0000 0.0000 0.2500
B: 0.0000 0.0000 0.7500
Pb: 0.0000 0.0000 0.0000
Pb: 0.0000 0.0000 0.5000

Computed properties:
- Density of states at the Fermi level: 0.561 states/eV per atom
- Calculated total energy: -0.23138 Ry per atom

***

# 21
LiBPb: relaxed, PBE.

abc: 5.6202 3.8788 5.7647
angles: 90.00 109.65 90.00
Element x y z (fractional)
Li: 0.0000 0.0000 0.0000
Li: 0.4877 0.5000 0.9980
B: 0.0463 0.5000 0.7562
B: 0.7631 0.5000 0.7525
Pb: 0.3095 0.5000 0.4804
Pb: 0.7976 0.0000 0.4444

Computed properties:
- Density of states at the Fermi level: 0.223 states/eV per atom
- Calculated total energy: -0.27585 Ry per atom

***

# 22
LiBPb: relaxed, PBE.

abc: 11.6845 3.1568 8.5836
angles: 90.00 130.42 90.00
Element x y z (fractional)
Li: 0.0257 0.0000 0.2323
Li: 0.4743 0.5000 0.7677
Li: 0.5257 0.5000 0.2323
Li: 0.9743 0.0000 0.7677
B: 0.2359 0.5000 0.4767
B: 0.2641 0.0000 0.5233
B: 0.7359 0.0000 0.4767
B: 0.7641 0.5000 0.5233
Pb: 0.2320 0.5000 0.1713
Pb: 0.2680 0.0000 0.8287
Pb: 0.7320 0.0000 0.1713
Pb: 0.7680 0.5000 0.8287

Computed properties:
- Density of states at the Fermi level: 0.146 states/eV per atom
- Calculated total energy: -0.29390 Ry per atom

***

# 23
LiBPb: relaxed, PBE.

abc: 8.8279 3.9686 6.0769
angles: 90.00 90.00 90.00
Element x y z (fractional)
Li: 0.1310 0.2500 0.1899
Li: 0.3690 0.7500 0.6899
Li: 0.6310 0.2500 0.3101
Li: 0.8690 0.7500 0.8101
B: 0.1589 0.7500 0.4295
B: 0.3411 0.2500 0.9295
B: 0.6589 0.7500 0.0705
B: 0.8411 0.2500 0.5705
Pb: 0.1269 0.2500 0.6679
Pb: 0.3731 0.7500 0.1679
Pb: 0.6269 0.2500 0.8321
Pb: 0.8731 0.7500 0.3321

Computed properties:
- Density of states at the Fermi level: 0.136 states/eV per atom
- Calculated total energy: -0.26214 Ry per atom

***

# 24
LiBPb: relaxed, PBE.

abc: 9.9097 6.2971 3.6632
angles: 90.00 90.80 90.00
Element x y z (fractional)
Li: 0.0000 0.2179 0.0000
Li: 0.0000 0.7821 0.0000
Li: 0.5000 0.2821 0.0000
Li: 0.5000 0.7179 0.0000
B: 0.0948 0.0000 0.5026
B: 0.4388 0.5000 0.4989
B: 0.5948 0.5000 0.5026
B: 0.9388 0.0000 0.4989
Pb: 0.2056 0.5000 0.5042
Pb: 0.2643 0.0000 0.0118
Pb: 0.7056 0.0000 0.5042
Pb: 0.7643 0.5000 0.0118

Computed properties:
- Density of states at the Fermi level: 0.268 states/eV per atom
- Calculated total energy: -0.28030 Ry per atom

***

# 25
Li3BPb: relaxed, PBE.

abc: 4.3707 4.3707 4.3707
angles: 90.00 90.00 90.00
Element x y z (fractional)
Li: 0.0000 0.0000 0.5000
Li: 0.0000 0.5000 0.0000
Li: 0.5000 0.0000 0.0000
B: 0.0000 0.0000 0.0000
Pb: 0.5000 0.5000 0.5000

Computed properties:
- Density of states at the Fermi level: 0.468 states/eV per atom
- Calculated total energy: -0.21370 Ry per atom
- E above lowest polymorph: 0 meV per atom

***

# 26
Li3BPb: relaxed, PBE.

abc: 5.1326 5.1326 5.1326
angles: 90.00 90.00 90.00
Element x y z (fractional)
Li: 0.0000 0.0000 0.5000
Li: 0.0000 0.5000 0.0000
Li: 0.5000 0.0000 0.0000
B: 0.5000 0.5000 0.5000
Pb: 0.0000 0.0000 0.0000

Computed properties:
- Density of states at the Fermi level: 0.353 states/eV per atom
- Calculated total energy: -0.15973 Ry per atom
- E above lowest polymorph: 734 meV per atom

***

# 27
LiBPb: relaxed, PBE.

abc: 12.3443 12.3443 12.3443
angles: 15.01 15.01 15.01
Element x y z (fractional)
Li: 0.0370 0.0370 0.0370
Li: 0.9630 0.9630 0.9630
B: 0.3333 0.3333 0.3333
B: 0.6667 0.6667 0.6667
Pb: 0.1262 0.1262 0.1262
Pb: 0.8738 0.8738 0.8738

Computed properties:
- Density of states at the Fermi level: 0.511 states/eV per atom
- Calculated total energy: -0.30239 Ry per atom